Record 1
The following is a PBE calculation of crystalline CuSe2IN at its relaxed geometry, from the Alexandria database.

Output
* relative energy among the computed polymorphs: 544 meV per atom
* volume: 118.2 Å³/f.u.
* raw total energy: -2.696 eV per atom
* symmetry: P4/mmm (123)

a b c (Å): 5.493 5.493 3.915
angles (deg): 90.00 90.00 90.00
Atoms (fractional coordinates):
Cu (0.000, 0.000, 0.000)
Se (0.000, 0.500, 0.500)
Se (0.500, 0.000, 0.500)
I (0.500, 0.500, 0.500)
N (0.500, 0.500, 0.000)

Record 2
The following is a PBE calculation of crystalline CuSiI2N at its relaxed geometry, from the Alexandria database.

Output
* relative energy among the computed polymorphs: 0 meV per atom
* volume: 109.4 Å³/f.u.
* raw total energy: -3.732 eV per atom
* symmetry: P4/mmm (123)

a b c (Å): 5.737 5.737 3.325
angles (deg): 90.00 90.00 90.00
Atoms (fractional coordinates):
Cu (0.000, 0.000, 0.000)
Si (0.500, 0.500, 0.500)
I (0.000, 0.500, 0.500)
I (0.500, 0.000, 0.500)
N (0.500, 0.500, 0.000)

Record 3
The following is a PBE calculation of crystalline CuSiI2N at its relaxed geometry, from the Alexandria database.

Output
* relative energy among the computed polymorphs: 503 meV per atom
* volume: 115.2 Å³/f.u.
* raw total energy: -3.230 eV per atom
* symmetry: P4/mmm (123)

a b c (Å): 5.585 5.585 3.695
angles (deg): 90.00 90.00 90.00
Atoms (fractional coordinates):
Cu (0.000, 0.000, 0.000)
Si (0.500, 0.500, 0.500)
I (0.000, 0.500, 0.000)
I (0.500, 0.000, 0.000)
N (0.000, 0.000, 0.500)

Record 4
The following is a PBE calculation of crystalline CuSnIN2 at its relaxed geometry, from the Alexandria database.

Output
* relative energy among the computed polymorphs: 0 meV per atom
* volume: 115.1 Å³/f.u.
* raw total energy: -3.938 eV per atom
* symmetry: P4/mmm (123)

a b c (Å): 3.994 3.994 7.218
angles (deg): 90.00 90.00 90.00
Atoms (fractional coordinates):
Cu (0.000, 0.000, 0.000)
Sn (0.500, 0.500, 0.500)
I (0.500, 0.500, 0.000)
N (0.000, 0.500, 0.500)
N (0.500, 0.000, 0.500)

The formation energy from raw total energies results, record by record, are as follows: 1492 457 959 1322 meV per atom.